1.
Sr5Ca5Bi6: optimized geometry, PBE.

Its density of states at the Fermi level is 1.57 states/eV/f.u. For the total energy, the calculation gives -3.463 eV per atom. As for the space-group type: Amm2, No. 38.

Structure (POSCAR):
```
Sr5Ca5Bi6
1.0
-2.7232 0.9401 6.6458
-8.8284 0.1673 -3.6412
3.8279 -8.3094 2.7439
Sr Ca Bi
5 5 6
Cartesian
-6.6101 0.1244 -2.7262 Sr
2.8653 -6.2218 2.0542 Sr
-5.0969 -5.6119 2.6526 Sr
-3.5696 0.5020 2.4136 Sr
-0.4128 -1.6123 4.0062 Sr
-2.4311 -4.7657 5.5992 Ca
-6.6417 -1.9456 3.4749 Ca
-5.2799 -2.4157 0.1515 Ca
-1.0693 -5.2358 2.2758 Ca
-1.2815 -2.0867 -0.2300 Ca
-3.0107 -4.9022 -0.5403 Bi
-3.4342 0.0122 -1.4089 Bi
1.4430 -3.2543 1.0516 Bi
-3.3332 -2.7402 2.9691 Bi
-6.7101 0.5674 1.1175 Bi
0.9539 -4.5657 4.9840 Bi
```

=====

2.
Sr3Ca4Bi4: optimized geometry, PBE.

Its density of states at the Fermi level is 5.38 states/eV/f.u. For the total energy, the calculation gives -3.356 eV per atom. As for the space-group type: Immm, No. 71.

Structure (POSCAR):
```
Sr3Ca4Bi4
1.0
-4.2204 -1.3481 1.7169
4.4720 -4.5755 7.4002
-0.5235 10.2601 0.1943
Sr Ca Bi
3 4 4
Cartesian
-0.0836 1.5340 0.9990 Sr
-0.1883 2.8026 8.3124 Sr
2.2360 -2.2877 3.7001 Sr
-1.1398 5.6617 1.6436 Ca
-0.8929 0.4764 4.7541 Ca
0.8680 -1.3251 7.6678 Ca
0.6210 3.8602 4.5573 Ca
2.0483 1.1572 5.9435 Bi
-2.3202 3.1794 3.3679 Bi
1.3791 -4.2440 6.6324 Bi
-1.1274 -1.6796 2.4848 Bi
```

=====

3.
Sr2Ca2Bi: optimized geometry, PBE.

As for the energy above the most stable polymorph in this dataset: 0 meV per atom. Its density of states at the Fermi level is 7.49 states/eV/f.u. As for the space-group type: P4/mbm, No. 127.

Structure (POSCAR):
```
Sr2Ca2Bi
1.0
-1.0305 -6.1667 5.6935
4.8844 -5.1054 -4.6458
4.9656 1.9807 3.0441
Sr Ca Bi
4 4 2
Cartesian
5.5649 -3.4340 -0.6269 Sr
5.8699 -7.3747 1.4397 Sr
3.2546 -5.8575 4.7187 Sr
2.9497 -1.9168 2.6520 Sr
3.7811 -6.4686 -1.9589 Ca
2.3144 -8.5575 1.7928 Ca
0.0729 -4.8035 3.0066 Ca
1.5396 -2.7147 -0.7451 Ca
0.0000 0.0000 0.0000 Bi
1.9270 -5.6361 0.5238 Bi
```

=====

4.
SrCaBi2: optimized geometry, PBE.

As for the energy above the most stable polymorph in this dataset: 39 meV per atom. Its density of states at the Fermi level is 0.45 states/eV/f.u. As for the space-group type: R3m, No. 160.

Structure (POSCAR):
```
SrCaBi2
1.0
-1.0033 2.2776 4.5243
-4.7523 1.7470 1.0133
-3.5211 -4.5244 4.4436
Sr Ca Bi
1 1 2
Cartesian
-4.6717 -0.3719 5.0446 Sr
-7.3266 -1.7256 8.0841 Ca
-3.1192 -3.0534 3.7922 Bi
-2.3187 -0.1230 2.4944 Bi
```

=====

5.
SrCa8Bi6: optimized geometry, PBE.

For the total energy, the calculation gives -3.577 eV per atom. As for the space-group type: R-3, No. 148.

Structure (POSCAR):
```
SrCa8Bi6
1.0
-8.3535 0.6137 -3.5838
-4.7898 -7.5588 -1.7098
-7.4057 -2.0051 5.3384
Sr Ca Bi
1 8 6
Cartesian
0.0000 0.0000 0.0000 Sr
-8.2169 -1.9946 -0.5222 Ca
-11.9480 -1.7087 0.5017 Ca
-7.9604 -4.6158 2.3265 Ca
-16.1660 -6.6353 1.8049 Ca
-4.3830 -2.3148 -1.7601 Ca
-12.5885 -4.3344 -2.2817 Ca
-8.6009 -7.2415 -0.4569 Ca
-12.3321 -6.9556 0.5670 Ca
-9.5504 -1.8618 2.5419 Bi
-10.6503 -1.8664 -2.5767 Bi
-6.6642 -4.7277 -0.7545 Bi
-13.8848 -4.2225 0.7993 Bi
-9.8987 -7.0838 2.6214 Bi
-10.9986 -7.0883 -2.4971 Bi
```

=====

6.
Sr3CaBi2: optimized geometry, PBE.

Its density of states at the Fermi level is 1.19 states/eV/f.u. For the total energy, the calculation gives -3.184 eV per atom. As for the space-group type: Ibam, No. 72.

Structure (POSCAR):
```
Sr3CaBi2
1.0
-0.3299 -6.8687 -1.8031
4.4109 1.2120 -5.4239
5.0957 1.0656 9.0230
Sr Ca Bi
6 2 4
Cartesian
4.6513 -1.7053 -1.2394 Sr
4.5254 -2.8859 3.0353 Sr
6.8987 1.2146 1.2407 Sr
2.2780 -5.8058 0.5552 Sr
3.1432 -2.5253 -4.9695 Sr
0.9378 -3.1313 -2.2575 Sr
1.1027 0.3030 -1.3560 Ca
3.3082 0.9090 -4.0680 Ca
1.8053 -2.1436 0.9892 Bi
7.3714 -2.4476 0.8068 Bi
5.3347 0.4597 4.4410 Bi
3.8420 -5.0508 -2.6451 Bi
```

=====

7.
Sr3Ca2Bi4: optimized geometry, PBE.

Its density of states at the Fermi level is 6.31 states/eV/f.u. For the total energy, the calculation gives -3.519 eV per atom. As for the space-group type: C2/m, No. 12.

Structure (POSCAR):
```
Sr3Ca2Bi4
1.0
5.1366 0.0000 -1.4358
-0.5460 7.1009 -1.9533
-0.1989 -0.0211 9.1943
Sr Ca Bi
3 2 4
Cartesian
0.3023 4.0801 1.0816 Sr
4.0893 2.9997 4.7236 Sr
0.0000 0.0000 0.0000 Sr
3.3144 0.3435 1.9513 Ca
1.0773 6.7363 3.8539 Ca
1.9523 5.0493 6.9846 Bi
0.9614 1.7243 3.4395 Bi
2.4393 2.0305 -1.1794 Bi
3.4302 5.3555 2.3657 Bi
```

=====

8.
Sr2CaBi: optimized geometry, PBE.

Its density of states at the Fermi level is 3.76 states/eV/f.u. For the total energy, the calculation gives -2.651 eV per atom. As for the space-group type: R3m, No. 160.

Structure (POSCAR):
```
Sr2CaBi
1.0
5.2474 0.0000 0.0000
2.6237 4.5444 0.0000
2.6237 1.5148 8.1154
Sr Ca Bi
2 1 1
Cartesian
2.6237 1.5148 6.6020 Sr
2.6237 1.5148 1.5242 Sr
5.2474 3.0296 3.8652 Ca
5.2474 3.0296 0.1817 Bi
```

=====

9.
SrCaBi: optimized geometry, PBE.

As for the energy above the most stable polymorph in this dataset: 216 meV per atom. Its density of states at the Fermi level is 3.67 states/eV/f.u. As for the space-group type: I4mm, No. 107.

Structure (POSCAR):
```
SrCaBi
1.0
-3.8556 -0.6517 1.6629
1.5727 -3.1139 2.4260
2.4141 6.1174 2.5659
Sr Ca Bi
1 1 1
Cartesian
-0.0592 1.7182 5.9650 Sr
-0.7495 -0.5785 3.4645 Ca
0.6893 2.2935 2.4970 Bi
```

=====

10.
Sr2CaBi: optimized geometry, PBE.

Its density of states at the Fermi level is 5.11 states/eV/f.u. For the total energy, the calculation gives -2.567 eV per atom. As for the space-group type: I-42d, No. 122.

Structure (POSCAR):
```
Sr2CaBi
1.0
10.1419 0.0000 0.0000
0.0000 10.1419 0.0000
5.0709 5.0709 3.6095
Sr Ca Bi
4 2 2
Cartesian
8.2505 2.5355 0.9024 Sr
1.8913 7.6064 0.9024 Sr
7.6064 6.9623 2.7071 Sr
12.6774 13.3215 2.7071 Sr
5.0709 5.0709 0.0000 Ca
5.0709 10.1419 1.8048 Ca
0.0000 0.0000 0.0000 Bi
10.1419 5.0709 1.8048 Bi
```

=====

11.
SrCaBi: optimized geometry, PBE.

As for the energy above the most stable polymorph in this dataset: 87 meV per atom. Its density of states at the Fermi level is 1.67 states/eV/f.u. As for the space-group type: F-43m, No. 216.

Structure (POSCAR):
```
SrCaBi
1.0
5.5182 0.0000 0.0000
2.7591 4.7789 0.0000
2.7591 1.5930 4.5056
Sr Ca Bi
1 1 1
Cartesian
5.5182 3.1859 2.2528 Sr
0.0000 0.0000 0.0000 Ca
2.7591 1.5930 1.1264 Bi
```

=====

12.
Sr3CaBi: optimized geometry, PBE.

As for the energy above the most stable polymorph in this dataset: 0 meV per atom. Its density of states at the Fermi level is 3.54 states/eV/f.u. As for the space-group type: Pm-3m, No. 221.

Structure (POSCAR):
```
Sr3CaBi
1.0
6.4700 0.0000 0.0000
0.0000 6.4700 0.0000
0.0000 0.0000 6.4700
Sr Ca Bi
3 1 1
Cartesian
0.0000 3.2350 0.0000 Sr
0.0000 0.0000 3.2350 Sr
3.2350 0.0000 0.0000 Sr
3.2350 3.2350 3.2350 Ca
0.0000 0.0000 0.0000 Bi
```

=====

13.
Sr2CaBi: optimized geometry, PBE.

Its density of states at the Fermi level is 2.48 states/eV/f.u. For the total energy, the calculation gives -2.749 eV per atom. As for the space-group type: P4/mmm, No. 123.

Structure (POSCAR):
```
Sr2CaBi
1.0
4.5266 0.0000 0.0000
0.0000 4.5266 0.0000
0.0000 0.0000 7.8068
Sr Ca Bi
2 1 1
Cartesian
0.0000 0.0000 6.1150 Sr
0.0000 0.0000 1.6918 Sr
2.2633 2.2633 3.9034 Ca
2.2633 2.2633 0.0000 Bi
```

=====

14.
Sr3Ca2Bi3: optimized geometry, PBE.

Its density of states at the Fermi level is 0.81 states/eV/f.u. For the total energy, the calculation gives -3.447 eV per atom. As for the space-group type: P6_3/mcm, No. 193.

Structure (POSCAR):
```
Sr3Ca2Bi3
1.0
7.2666 0.0000 0.0000
0.0000 8.3353 -4.8124
0.0000 0.0000 9.6248
Sr Ca Bi
6 4 6
Cartesian
5.4500 2.1024 -1.2138 Sr
5.4500 6.2329 3.5986 Sr
5.4500 0.0000 2.4277 Sr
1.8167 6.2329 -3.5986 Sr
1.8167 2.1024 1.2138 Sr
1.8167 0.0000 7.1972 Sr
0.0000 2.7784 4.8124 Ca
3.6333 5.5569 0.0000 Ca
0.0000 5.5569 0.0000 Ca
3.6333 2.7784 4.8124 Ca
5.4500 5.0556 -2.9188 Bi
5.4500 3.2798 1.8936 Bi
5.4500 0.0000 5.8377 Bi
1.8167 3.2798 -1.8936 Bi
1.8167 5.0556 2.9188 Bi
1.8167 0.0000 3.7871 Bi
```

=====

15.
Sr3CaBi: optimized geometry, PBE.

As for the energy above the most stable polymorph in this dataset: 817 meV per atom. Its density of states at the Fermi level is 4.66 states/eV/f.u. As for the space-group type: Pm-3m, No. 221.

Structure (POSCAR):
```
Sr3CaBi
1.0
-3.5224 1.2923 -5.1431
-3.9269 -4.7851 1.4871
-3.5639 3.9953 3.4447
Sr Ca Bi
3 1 1
Cartesian
-1.9635 -2.3926 0.7436 Sr
-1.7819 1.9976 1.7224 Sr
-1.7612 0.6461 -2.5716 Sr
0.0000 0.0000 0.0000 Ca
-5.5066 0.2512 -0.1056 Bi
```

=====

16.
SrCa2Bi: optimized geometry, PBE.

Its density of states at the Fermi level is 3.86 states/eV/f.u. For the total energy, the calculation gives -2.695 eV per atom. As for the space-group type: I-42d, No. 122.

Structure (POSCAR):
```
SrCa2Bi
1.0
-4.7030 0.4104 -8.8243
8.7960 -0.7062 -4.7208
1.7603 -3.6448 -6.7826
Sr Ca Bi
2 4 2
Cartesian
2.0465 -0.1479 -6.7725 Sr
6.3014 -2.2494 -9.1380 Sr
-1.7488 -0.7125 -8.4558 Ca
5.6988 -1.3317 -5.0943 Ca
2.2023 -2.7921 -9.8160 Ca
5.5545 -3.0448 -17.2893 Ca
0.0000 0.0000 0.0000 Bi
-0.4481 -1.6912 -11.1897 Bi
```

=====

17.
SrCaBi2: optimized geometry, PBE.

As for the energy above the most stable polymorph in this dataset: 0 meV per atom. Its density of states at the Fermi level is 1.76 states/eV/f.u. As for the space-group type: P4/mmm, No. 123.

Structure (POSCAR):
```
SrCaBi2
1.0
-4.4065 0.4315 0.7848
0.0214 -4.7347 2.7235
1.0877 2.6727 4.6378
Sr Ca Bi
1 1 2
Cartesian
-1.6487 -0.8153 4.0730 Sr
-2.2032 0.2158 0.3924 Ca
0.5439 1.3363 2.3189 Bi
0.0107 -2.3673 1.3617 Bi
```

=====

18.
SrCa5Bi5: optimized geometry, PBE.

Its density of states at the Fermi level is 2.89 states/eV/f.u. For the total energy, the calculation gives -3.481 eV per atom. As for the space-group type: C2/m, No. 12.

Structure (POSCAR):
```
SrCa5Bi5
1.0
-0.0041 -6.0204 2.7157
-0.7064 -0.3476 -8.8027
7.7506 0.4337 0.9729
Sr Ca Bi
1 5 5
Cartesian
0.0000 0.0000 0.0000 Sr
2.3116 -3.9250 -0.6667 Ca
6.3913 -3.8128 -0.4119 Ca
3.8753 0.2168 0.4865 Ca
0.6489 -2.1215 -4.7021 Ca
4.7286 -2.0094 -4.4474 Ca
1.0708 -5.1581 -3.4021 Bi
4.4625 -4.9625 -2.9634 Bi
-0.0020 -3.0102 1.3579 Bi
2.5777 -0.9719 -2.1507 Bi
5.9693 -0.7763 -1.7120 Bi
```

=====

19.
Sr2Ca3Bi4: optimized geometry, PBE.

As for the energy above the most stable polymorph in this dataset: 0 meV per atom. Its density of states at the Fermi level is 4.27 states/eV/f.u. As for the space-group type: P2_1/c, No. 14.

Structure (POSCAR):
```
Sr2Ca3Bi4
1.0
8.5320 -0.3318 0.0000
-3.1206 8.5239 0.0000
0.0000 0.0000 8.7008
Sr Ca Bi
4 6 8
Cartesian
4.1204 1.3591 2.7325 Sr
5.5571 6.6671 7.0829 Sr
1.2911 6.8330 5.9683 Sr
-0.1456 1.5250 1.6179 Sr
-1.5603 4.2620 4.3504 Ca
2.7057 4.0961 0.0000 Ca
5.4754 1.7127 7.3879 Ca
4.2020 6.3135 3.0375 Ca
-0.0640 6.4794 1.3129 Ca
1.2094 1.8786 5.6633 Ca
6.7568 0.5482 4.7218 Bi
2.9206 7.4780 0.3715 Bi
-1.3454 7.6439 3.9789 Bi
2.4908 0.7141 8.3293 Bi
5.8756 3.9420 1.1412 Bi
3.8018 4.0842 5.4916 Bi
-0.4642 4.2501 7.5595 Bi
1.6096 4.1079 3.2091 Bi
```

=====

20.
SrCaBi2: optimized geometry, PBE.

As for the energy above the most stable polymorph in this dataset: 31 meV per atom. Its density of states at the Fermi level is 3.28 states/eV/f.u. As for the space-group type: Fm-3m, No. 225.

Structure (POSCAR):
```
SrCaBi2
1.0
0.0000 4.0745 4.0745
4.0745 0.0000 4.0745
4.0745 4.0745 0.0000
Sr Ca Bi
1 1 2
Cartesian
4.0745 4.0745 4.0745 Sr
0.0000 0.0000 0.0000 Ca
2.0372 2.0372 2.0372 Bi
6.1117 6.1117 6.1117 Bi
```